No. 1
The following is a PBE-GGA calculation of YTh2PaAs4 after structural relaxation, from Alexandria via LeMat-Bulk.

The structure in POSCAR format:
```
YTh2PaAs4
1.0
4.185 0.000 0.000
0.000 7.232 0.121
0.000 -2.532 6.784
As Th Y Pa
4 2 1 1
direct
0.000 0.745 0.238
0.000 0.255 0.762
0.500 0.751 0.761
0.500 0.249 0.239
0.000 0.500 0.500
0.500 0.000 0.500
0.000 0.000 0.000
0.500 0.500 0.000
```

calculated density = 8.709 g cm⁻³
energy = -7.52 eV per atom
space group = No. 10

***

No. 2
The following is a PBE-GGA calculation of Th3Zr2PaAs6 after structural relaxation, from Alexandria via LeMat-Bulk.

The structure in POSCAR format:
```
Th3Zr2PaAs6
1.0
-5.874 2.640 2.974
0.007 -6.594 -2.615
3.925 -1.045 5.857
As Zr Th Pa
6 2 3 1
direct
0.417 0.077 0.231
0.735 0.735 0.227
0.583 0.923 0.769
0.265 0.265 0.773
0.077 0.417 0.231
0.923 0.583 0.769
0.331 0.669 0.000
0.669 0.331 0.000
0.835 0.165 0.500
0.500 0.500 0.500
0.165 0.835 0.500
0.000 0.000 0.000
```

calculated density = 8.847 g cm⁻³
energy = -7.62 eV per atom
space group = No. 12

***

No. 3
The following is a PBE-GGA calculation of PaTiAs after structural relaxation, from Alexandria via LeMat-Bulk.

The structure in POSCAR format:
```
PaTiAs
1.0
-3.094 0.967 -1.402
1.488 -1.138 -4.069
-2.100 -3.030 2.545
Ti Pa As
1 1 1
direct
0.167 0.333 0.667
0.667 0.667 0.333
0.167 0.000 0.000
```

calculated density = 9.572 g cm⁻³
polymorph energy (0 for the lowest one) = 0 meV/atom
space group = No. 187

***

Question: Which value of calculated density does entry 3 give?
Answer: 9.572 g cm⁻³

***

Question: What is the formula in the third record?
Answer: PaTiAs

***

Question: Which value of calculated density does entry 3 give?
Answer: 9.572 g cm⁻³